Entry from Alexandria: crystalline CaPm2Cd3 at its relaxed geometry (GGA-PBE).

Raw total energy, eV per atom: -2.714
DOS(E_F), states/eV/f.u.: 5.5
E_form, eV per atom: -0.339
Distance to the lowest polymorph of the same formula, eV/atom: 0.009

a = 3.8127 Å, b = 3.8127 Å, c = 11.6530 Å
α = 90.00°, β = 90.00°, γ = 90.00°
Sites, in units of the cell vectors:
Ca  0.0000  0.0000  0.0000
Pm  0.0000  0.0000  0.3355
Pm  0.0000  0.0000  0.6645
Cd  0.5000  0.5000  0.1706
Cd  0.5000  0.5000  0.5000
Cd  0.5000  0.5000  0.8294